## TbDy6HoSc2 (PBE-GGA)

Data for TbDy6HoSc2 after structural relaxation.

ΔE_f (eV/atom): 0.13
Raw total energy (eV per atom): -4.8226
Density of states at the Fermi level (states/eV per cell): 64.91

a = 8.954 Å, b = 14.701 Å, c = 9.336 Å
α = 90.00°, β = 96.87°, γ = 90.00°
Space group C2/c (No. 15)
Unique sites:
Tb1 0.000 0.028 0.250 (multiplicity 4)
Dy1 0.062 0.180 0.946 (multiplicity 8)
Dy2 0.098 0.395 0.117 (multiplicity 8)
Dy3 0.212 0.228 0.319 (multiplicity 8)
Ho1 0.000 0.408 0.750 (multiplicity 4)
Sc1 0.250 0.053 0.548 (multiplicity 8)